Here is CaAc2FeO5 after structural relaxation from the Alexandria database. Energies are from GGA+U. Values from VASP.

Cell and atoms, written as Quantum ESPRESSO input:
```
&SYSTEM
  ibrav = 0, nat = 18, ntyp = 4
/
ATOMIC_SPECIES
Ca 40.08 Ca.upf
Ac 227.00 Ac.upf
Fe 55.84 Fe.upf
O 16.00 O.upf
CELL_PARAMETERS angstrom
7.0547 0.0000 0.0000
0.0000 7.0547 0.0000
0.0000 0.0000 5.7786
ATOMIC_POSITIONS crystal
Ca 0.0000 0.0000 0.0000
Ca 0.5000 0.5000 0.0000
Ac 0.1735 0.3265 0.5000
Ac 0.3265 0.8265 0.5000
Ac 0.6735 0.1735 0.5000
Ac 0.8265 0.6735 0.5000
Fe 0.0000 0.5000 0.0000
Fe 0.5000 0.0000 0.0000
O 0.0000 0.0000 0.5000
O 0.1391 0.6391 0.2287
O 0.1391 0.6391 0.7713
O 0.3609 0.1391 0.2287
O 0.3609 0.1391 0.7713
O 0.5000 0.5000 0.5000
O 0.6391 0.8609 0.2287
O 0.6391 0.8609 0.7713
O 0.8609 0.3609 0.2287
O 0.8609 0.3609 0.7713
```

The total magnetic moment comes out at 0.2222 μB/atom. As for the density of states at the Fermi level: 0.0 states/eV/cell. The value obtained for the calculated total energy is -6.999 eV per atom.